HgSI2O: relaxed, PBE.

**Spin magnetization**: 0.000 Bohr magnetons per cell
**Total DFT energy (no corrections)**: -11.60 eV per formula unit
**ΔE_f (raw)**: 177.2 meV/atom
**ΔE to the lowest computed polymorph**: 0 meV/atom
**SG**: P4/mmm, No. 123
**N(E_F)**: 2.69 states/eV/f.u.

Cell: 5.991 5.991 3.571 Å, 90.00 90.00 90.00°
Element x y z (fractional)
Hg 0.000 0.000 0.000
S 0.500 0.500 0.500
I 0.000 0.500 0.500
I 0.500 0.000 0.500
O 0.500 0.500 0.000

=====

HgSI2O: relaxed, PBE.

**Spin magnetization**: 3.401 Bohr magnetons per cell
**Total DFT energy (no corrections)**: -8.87 eV per formula unit
**ΔE_f (raw)**: 722.6 meV/atom
**ΔE to the lowest computed polymorph**: 545 meV/atom
**SG**: P4/mmm, No. 123
**N(E_F)**: 7.60 states/eV/f.u.

Cell: 6.108 6.108 4.085 Å, 90.00 90.00 90.00°
Element x y z (fractional)
Hg 0.000 0.000 0.000
S 0.500 0.500 0.500
I 0.000 0.500 0.000
I 0.500 0.000 0.000
O 0.000 0.000 0.500

=====

HgSbIO2: relaxed, PBE.

**Spin magnetization**: 0.000 Bohr magnetons per cell
**Total DFT energy (no corrections)**: -17.88 eV per formula unit
**ΔE_f (raw)**: -397.4 meV/atom
**ΔE to the lowest computed polymorph**: 373 meV/atom
**SG**: P4/mmm, No. 123
**N(E_F)**: 0.79 states/eV/f.u.

Cell: 4.162 4.162 6.744 Å, 90.00 90.00 90.00°
Element x y z (fractional)
Hg 0.000 0.000 0.000
Sb 0.500 0.500 0.500
I 0.500 0.500 0.000
O 0.000 0.500 0.500
O 0.500 0.000 0.500

=====

HgSbIO6: relaxed, PBE.

**Spin magnetization**: 0.000 Bohr magnetons per cell
**Total DFT energy (no corrections)**: -41.30 eV per formula unit
**ΔE_f (raw)**: -620.0 meV/atom
**SG**: P-31c, No. 163

Cell: 5.522 5.522 9.967 Å, 90.00 90.00 120.00°
Element x y z (fractional)
Hg 0.000 0.000 0.000
Hg 0.000 0.000 0.500
Sb 0.333 0.667 0.250
Sb 0.667 0.333 0.750
I 0.333 0.667 0.750
I 0.667 0.333 0.250
O 0.013 0.374 0.139
O 0.013 0.640 0.361
O 0.360 0.374 0.361
O 0.360 0.987 0.139
O 0.374 0.013 0.639
O 0.374 0.360 0.861
O 0.626 0.640 0.139
O 0.626 0.987 0.361
O 0.640 0.013 0.861
O 0.640 0.626 0.639
O 0.987 0.360 0.639
O 0.987 0.626 0.861

=====

HgSb2IO: relaxed, PBE.

**Spin magnetization**: 0.008 Bohr magnetons per cell
**Total DFT energy (no corrections)**: -9.04 eV per formula unit
**ΔE_f (raw)**: 1203.1 meV/atom
**ΔE to the lowest computed polymorph**: 1124 meV/atom
**SG**: P4/mmm, No. 123
**N(E_F)**: 11.00 states/eV/f.u.

Cell: 5.592 5.592 5.713 Å, 90.00 90.00 90.00°
Element x y z (fractional)
Hg 0.000 0.000 0.000
Sb 0.000 0.500 0.000
Sb 0.500 0.000 0.000
I 0.000 0.000 0.500
O 0.500 0.500 0.500

=====

HgSbIO2: relaxed, PBE.

**Spin magnetization**: 0.001 Bohr magnetons per cell
**Total DFT energy (no corrections)**: -13.06 eV per formula unit
**ΔE_f (raw)**: 566.0 meV/atom
**ΔE to the lowest computed polymorph**: 1337 meV/atom
**SG**: P4/mmm, No. 123
**N(E_F)**: 4.20 states/eV/f.u.

Cell: 4.401 4.401 5.783 Å, 90.00 90.00 90.00°
Element x y z (fractional)
Hg 0.000 0.000 0.000
Sb 0.500 0.500 0.500
I 0.000 0.000 0.500
O 0.000 0.500 0.000
O 0.500 0.000 0.000

=====

HgSb2IO: relaxed, PBE.

**Spin magnetization**: 0.000 Bohr magnetons per cell
**Total DFT energy (no corrections)**: -14.66 eV per formula unit
**ΔE_f (raw)**: 78.9 meV/atom
**ΔE to the lowest computed polymorph**: 0 meV/atom
**SG**: P4/mmm, No. 123
**N(E_F)**: 3.55 states/eV/f.u.

Cell: 4.511 4.511 7.338 Å, 90.00 90.00 90.00°
Element x y z (fractional)
Hg 0.000 0.000 0.000
Sb 0.000 0.500 0.500
Sb 0.500 0.000 0.500
I 0.500 0.500 0.000
O 0.500 0.500 0.500

=====

HgSbIO2: relaxed, PBE.

**Spin magnetization**: 0.000 Bohr magnetons per cell
**Total DFT energy (no corrections)**: -19.74 eV per formula unit
**ΔE_f (raw)**: -770.8 meV/atom
**ΔE to the lowest computed polymorph**: 0 meV/atom
**SG**: P2_1/m, No. 11

Cell: 7.455 4.068 9.022 Å, 90.00 111.15 90.00°
Element x y z (fractional)
Hg 0.231 0.250 0.399
Hg 0.769 0.750 0.601
Sb 0.118 0.250 0.912
Sb 0.882 0.750 0.088
I 0.404 0.750 0.677
I 0.596 0.250 0.323
O 0.031 0.750 0.932
O 0.093 0.750 0.300
O 0.907 0.250 0.700
O 0.969 0.250 0.068